A relaxed Ac2InN crystal, computed with PBE.

Cell: 9.016 9.016 9.016 Å, 25.03 25.03 25.03°
Fractional coordinates of all 4 atoms:
Ac: 0.225 0.225 0.225
Ac: 0.775 0.775 0.775
In: 0.000 0.000 0.000
N: 0.500 0.500 0.500

As for the density: 8.4 Mg/m³. Its space group is R-3m (166). The energy above the most stable polymorph in this dataset comes out at 103.4 meV per atom.